Entry 1:
VASP calculation (PBE-GGA) on a relaxed SbOs2Au crystal.

- N(E_F) (states/eV/f.u.) = 1.88
- ρ (g/cm3) = 15.8
- raw formation energy (eV per atom) = 0.5043
- spin magnetization (μB/f.u.) = 0.00

```
data_SbOs2Au
_chemical_formula_sum 'Sb1 Os2 Au1'
_symmetry_space_group_name_H-M 'P m m 2'
_symmetry_Int_Tables_number 25
_cell_length_a 2.836
_cell_length_b 3.535
_cell_length_c 7.347
_cell_angle_alpha 90.00
_cell_angle_beta 90.00
_cell_angle_gamma 90.00
loop_
_symmetry_equiv_pos_as_xyz
'x,y,z'
'-x,-y,z'
'-x,y,z'
'x,-y,z'
loop_
_atom_site_label
_atom_site_fract_x
_atom_site_fract_y
_atom_site_fract_z
Sb1 0.000 0.000 0.000
Os1 0.000 0.000 0.568
Os2 0.500 0.500 0.738
Au1 0.500 0.500 0.316
```

=====

Entry 2:
VASP calculation (PBE-GGA) on a relaxed SrTb2Rh crystal.

- N(E_F) (states/eV/f.u.) = 4.23
- offset from the most stable computed form (meV/atom) = 0
- formation enthalpy at 0 K (meV per atom) = -388
- ρ (g/cm3) = 6.1
- spin magnetization (μB/f.u.) = 0.00

```
data_SrTb2Rh
_chemical_formula_sum 'Sr3 Tb6 Rh3'
_symmetry_space_group_name_H-M 'R 3 m'
_symmetry_Int_Tables_number 160
_symmetry_space_group_name_Hall 'R 3 -2"'
_cell_length_a 4.1176
_cell_length_b 4.1176
_cell_length_c 28.1867
_cell_angle_alpha 90.00
_cell_angle_beta 90.00
_cell_angle_gamma 120.00
loop_
_atom_site_label
_atom_site_fract_x
_atom_site_fract_y
_atom_site_fract_z
Sr1 0.0000 0.0000 0.0000
Tb1 0.0000 0.0000 0.5486
Tb2 0.0000 0.0000 0.7812
Rh1 0.0000 0.0000 0.1650
```

=====

Entry 3:
VASP calculation (PBE-GGA) on a relaxed Sb2TeSe crystal.

- N(E_F) (states/eV/f.u.) = 1.81
- offset from the most stable computed form (meV/atom) = 134
- ρ (g/cm3) = 6.3
- raw formation energy (eV per atom) = 0.1007
- spin magnetization (μB/f.u.) = 0.00

```
data_Sb2TeSe
_chemical_formula_sum 'Sb8 Te4 Se4'
_symmetry_space_group_name_H-M 'I -4 2 d'
_symmetry_Int_Tables_number 122
_symmetry_space_group_name_Hall 'I -4 2bw'
_cell_length_a 8.042
_cell_length_b 8.042
_cell_length_c 7.323
_cell_angle_alpha 90.00
_cell_angle_beta 90.00
_cell_angle_gamma 90.00
loop_
_atom_site_label
_atom_site_fract_x
_atom_site_fract_y
_atom_site_fract_z
Sb1 0.234 0.250 0.125
Te1 0.000 0.000 0.500
Se1 0.000 0.000 0.000
```